VASP calculation (PBE) on CeAgPd after structural relaxation.

Calculated values
ΔH_f (0 K) (eV per formula unit): -1.18

Cell: 4.735 4.735 3.374 Å, 90.00 90.00 120.00°
Sites, in units of the cell vectors:
1 Ce 0.000 0.000 0.000
2 Ag 0.333 0.667 0.500
3 Pd 0.667 0.333 0.500



VASP calculation (PBE) on K2ReIr after structural relaxation.

Calculated values
ΔH_f (0 K) (eV per formula unit): 8.87

Cell: 7.480 7.480 7.480 Å, 90.00 90.00 90.00°
Sites, in units of the cell vectors:
1 K 0.250 0.250 0.250
2 K 0.250 0.250 0.750
3 K 0.250 0.750 0.250
4 K 0.250 0.750 0.750
5 K 0.750 0.250 0.250
6 K 0.750 0.250 0.750
7 K 0.750 0.750 0.250
8 K 0.750 0.750 0.750
9 Re 0.000 0.000 0.000
10 Re 0.000 0.500 0.500
11 Re 0.500 0.000 0.500
12 Re 0.500 0.500 0.000
13 Ir 0.000 0.000 0.500
14 Ir 0.000 0.500 0.000
15 Ir 0.500 0.000 0.000
16 Ir 0.500 0.500 0.500



VASP calculation (PBE) on TbPr2Sm after structural relaxation.

Calculated values
ΔH_f (0 K) (eV per formula unit): 0.49

Cell: 8.208 8.208 8.208 Å, 90.00 90.00 90.00°
Sites, in units of the cell vectors:
1 Tb 0.000 0.000 0.000
2 Tb 0.000 0.500 0.500
3 Tb 0.500 0.000 0.500
4 Tb 0.500 0.500 0.000
5 Pr 0.250 0.250 0.250
6 Pr 0.250 0.250 0.750
7 Pr 0.250 0.750 0.250
8 Pr 0.250 0.750 0.750
9 Pr 0.750 0.250 0.250
10 Pr 0.750 0.250 0.750
11 Pr 0.750 0.750 0.250
12 Pr 0.750 0.750 0.750
13 Sm 0.000 0.000 0.500
14 Sm 0.000 0.500 0.000
15 Sm 0.500 0.000 0.000
16 Sm 0.500 0.500 0.500



VASP calculation (PBE) on Cs2Ga12Au7 after structural relaxation.

Calculated values
ΔH_f (0 K) (eV per formula unit): -3.98

Cell: 10.794 10.794 4.550 Å, 90.00 90.00 120.00°
Sites, in units of the cell vectors:
1 Cs 0.333 0.667 0.250
2 Cs 0.667 0.333 0.750
3 Ga 0.062 0.627 0.757
4 Ga 0.125 0.258 0.247
5 Ga 0.133 0.875 0.247
6 Ga 0.258 0.133 0.753
7 Ga 0.373 0.435 0.757
8 Ga 0.435 0.062 0.243
9 Ga 0.565 0.938 0.757
10 Ga 0.627 0.565 0.243
11 Ga 0.742 0.867 0.247
12 Ga 0.867 0.125 0.753
13 Ga 0.875 0.742 0.753
14 Ga 0.938 0.373 0.243
15 Au 0.000 0.000 0.000
16 Au 0.093 0.389 0.739
17 Au 0.296 0.907 0.739
18 Au 0.389 0.296 0.261
19 Au 0.611 0.704 0.739
20 Au 0.704 0.093 0.261
21 Au 0.907 0.611 0.261



VASP calculation (PBE) on LaPaIn after structural relaxation.

Calculated values
ΔH_f (0 K) (eV per formula unit): 0.37

Cell: 7.668 6.685 5.734 Å, 75.83 57.70 46.47°
Sites, in units of the cell vectors:
1 La 0.183 0.817 0.183
2 La 0.817 0.183 0.817
3 Pa 0.250 0.250 0.250
4 Pa 0.750 0.750 0.750
5 In 0.376 0.376 0.624
6 In 0.624 0.624 0.376



VASP calculation (PBE) on Ac3Ga2Sn3 after structural relaxation.

Calculated values
ΔH_f (0 K) (eV per formula unit): -4.74

Cell: 6.594 6.594 16.764 Å, 90.00 90.00 138.57°
Sites, in units of the cell vectors:
1 Ac 0.059 0.941 0.610
2 Ac 0.059 0.941 0.890
3 Ac 0.337 0.663 0.750
4 Ac 0.663 0.337 0.250
5 Ac 0.941 0.059 0.110
6 Ac 0.941 0.059 0.390
7 Ga 0.226 0.774 0.113
8 Ga 0.226 0.774 0.387
9 Ga 0.774 0.226 0.613
10 Ga 0.774 0.226 0.887
11 Sn 0.362 0.638 0.537
12 Sn 0.362 0.638 0.963
13 Sn 0.385 0.615 0.250
14 Sn 0.615 0.385 0.750
15 Sn 0.638 0.362 0.037
16 Sn 0.638 0.362 0.463



VASP calculation (PBE) on Rb3Ga2Te4 after structural relaxation.

Calculated values
ΔE_f (raw) (meV per atom): -722

Cell: 9.580 9.580 8.718 Å, 96.71 96.71 77.06°
Sites, in units of the cell vectors:
1 Rb 0.107 0.893 0.750
2 Rb 0.234 0.489 0.396
3 Rb 0.489 0.234 0.896
4 Rb 0.511 0.766 0.104
5 Rb 0.766 0.511 0.604
6 Rb 0.893 0.107 0.250
7 Ga 0.090 0.327 0.933
8 Ga 0.327 0.090 0.433
9 Ga 0.673 0.910 0.567
10 Ga 0.910 0.673 0.067
11 Te 0.119 0.234 0.617
12 Te 0.189 0.577 0.993
13 Te 0.234 0.119 0.117
14 Te 0.423 0.811 0.507
15 Te 0.577 0.189 0.493
16 Te 0.766 0.881 0.883
17 Te 0.811 0.423 0.007
18 Te 0.881 0.766 0.383



VASP calculation (PBE) on CsKBa2Ag after structural relaxation.

Calculated values
ΔH_f (0 K) (eV per formula unit): 0.13

Cell: 6.663 6.663 7.199 Å, 90.00 90.00 90.00°
Sites, in units of the cell vectors:
1 Cs 0.000 0.000 0.000
2 K 0.500 0.500 0.000
3 Ba 0.000 0.500 0.500
4 Ba 0.500 0.000 0.500
5 Ag 0.500 0.500 0.500



VASP calculation (PBE) on TaCd2Os after structural relaxation.

Calculated values
ΔH_f (0 K) (eV per formula unit): 1.38

Cell: 3.824 4.678 8.306 Å, 90.00 90.00 90.00°
Sites, in units of the cell vectors:
1 Ta 0.000 0.000 0.000
2 Ta 0.500 0.500 0.500
3 Cd 0.000 0.000 0.532
4 Cd 0.000 0.500 0.773
5 Cd 0.500 0.000 0.273
6 Cd 0.500 0.500 0.032
7 Os 0.000 0.500 0.299
8 Os 0.500 0.000 0.799



VASP calculation (PBE) on Sc3AuO after structural relaxation.

Calculated values
ΔE_f (raw) (meV per atom): -1453

Cell: 8.024 8.024 6.584 Å, 101.17 101.17 85.04°
Sites, in units of the cell vectors:
1 Sc 0.014 0.737 0.866
2 Sc 0.120 0.627 0.352
3 Sc 0.263 0.986 0.634
4 Sc 0.306 0.396 0.971
5 Sc 0.373 0.880 0.148
6 Sc 0.396 0.306 0.471
7 Sc 0.604 0.694 0.529
8 Sc 0.627 0.120 0.852
9 Sc 0.694 0.604 0.029
10 Sc 0.737 0.014 0.366
11 Sc 0.880 0.373 0.648
12 Sc 0.986 0.263 0.134
13 Au 0.049 0.951 0.250
14 Au 0.344 0.656 0.750
15 Au 0.656 0.344 0.250
16 Au 0.951 0.049 0.750
17 O 0.210 0.386 0.246
18 O 0.386 0.210 0.746
19 O 0.614 0.790 0.254
20 O 0.790 0.614 0.754



VASP calculation (PBE) on Sr6PN2F3 after structural relaxation.

Calculated values
ΔE_f (raw) (meV per atom): -1895

Cell: 6.985 6.985 6.691 Å, 97.66 97.66 121.30°
Sites, in units of the cell vectors:
1 Sr 0.075 0.445 0.776
2 Sr 0.184 0.184 0.220
3 Sr 0.445 0.075 0.776
4 Sr 0.555 0.925 0.224
5 Sr 0.816 0.816 0.780
6 Sr 0.925 0.555 0.224
7 P 0.500 0.500 0.000
8 N 0.165 0.835 0.000
9 N 0.835 0.165 0.000
10 F 0.000 0.000 0.500
11 F 0.296 0.704 0.500
12 F 0.704 0.296 0.500



VASP calculation (PBE) on RbCSO3F3 after structural relaxation.

Calculated values
ΔE_f (raw) (meV per atom): -1630

Cell: 5.275 5.864 10.472 Å, 90.00 102.82 90.00°
Sites, in units of the cell vectors:
1 Rb 0.005 0.000 0.358
2 Rb 0.995 0.500 0.642
3 C 0.373 0.584 0.147
4 C 0.627 0.084 0.853
5 S 0.430 0.482 0.320
6 S 0.570 0.982 0.680
7 O 0.173 0.503 0.351
8 O 0.375 0.140 0.609
9 O 0.483 0.747 0.687
10 O 0.517 0.247 0.313
11 O 0.625 0.640 0.391
12 O 0.827 0.003 0.649
13 F 0.198 0.450 0.066
14 F 0.278 0.801 0.138
15 F 0.403 0.085 0.896
16 F 0.597 0.585 0.104
17 F 0.722 0.301 0.862
18 F 0.802 0.950 0.934



VASP calculation (PBE) on KCrBiCl6 after structural relaxation.

Calculated values
ΔE_f (raw) (meV per atom): -1197

Cell: 6.910 6.910 13.629 Å, 90.00 90.00 120.00°
Sites, in units of the cell vectors:
1 K 0.000 0.000 0.000
2 K 0.000 0.000 0.500
3 Cr 0.333 0.667 0.250
4 Cr 0.667 0.333 0.750
5 Bi 0.333 0.667 0.750
6 Bi 0.667 0.333 0.250
7 Cl 0.025 0.385 0.142
8 Cl 0.025 0.641 0.358
9 Cl 0.359 0.385 0.358
10 Cl 0.359 0.975 0.142
11 Cl 0.385 0.025 0.642
12 Cl 0.385 0.359 0.858
13 Cl 0.615 0.641 0.142
14 Cl 0.615 0.975 0.358
15 Cl 0.641 0.025 0.858
16 Cl 0.641 0.615 0.642
17 Cl 0.975 0.359 0.642
18 Cl 0.975 0.615 0.858



VASP calculation (PBE) on PuHf4Zn5 after structural relaxation.

Calculated values
ΔH_f (0 K) (eV per formula unit): -1.49

Cell: 3.292 3.292 17.371 Å, 90.00 90.00 90.00°
Sites, in units of the cell vectors:
1 Pu 0.000 0.000 0.000
2 Hf 0.000 0.000 0.213
3 Hf 0.000 0.000 0.405
4 Hf 0.000 0.000 0.595
5 Hf 0.000 0.000 0.787
6 Zn 0.500 0.500 0.120
7 Zn 0.500 0.500 0.309
8 Zn 0.500 0.500 0.500
9 Zn 0.500 0.500 0.691
10 Zn 0.500 0.500 0.880



VASP calculation (PBE) on ZrScF3 after structural relaxation.

Calculated values
ΔE_f (raw) (meV per atom): -2043

Cell: 4.278 4.278 4.278 Å, 90.00 90.00 90.00°
Sites, in units of the cell vectors:
1 Zr 0.000 0.000 0.000
2 Sc 0.500 0.500 0.500
3 F 0.000 0.500 0.500
4 F 0.500 0.000 0.500
5 F 0.500 0.500 0.000



VASP calculation (PBE) on NiIr2Rh after structural relaxation.

Calculated values
ΔH_f (0 K) (eV per formula unit): 2.41

Cell: 6.752 6.752 5.237 Å, 90.00 90.00 90.00°
Sites, in units of the cell vectors:
1 Ni 0.000 0.000 0.000
2 Ni 0.000 0.500 0.250
3 Ni 0.500 0.000 0.750
4 Ni 0.500 0.500 0.500
5 Ir 0.229 0.750 0.125
6 Ir 0.250 0.229 0.875
7 Ir 0.250 0.271 0.375
8 Ir 0.271 0.750 0.625
9 Ir 0.729 0.250 0.625
10 Ir 0.750 0.729 0.375
11 Ir 0.750 0.771 0.875
12 Ir 0.771 0.250 0.125
13 Rh 0.000 0.000 0.500
14 Rh 0.000 0.500 0.750
15 Rh 0.500 0.000 0.250
16 Rh 0.500 0.500 0.000



VASP calculation (PBE) on CaCrCd after structural relaxation.

Calculated values
ΔH_f (0 K) (eV per formula unit): 0.84

Cell: 3.708 3.708 10.687 Å, 90.00 90.00 90.00°
Sites, in units of the cell vectors:
1 Ca 0.000 0.000 0.000
2 Ca 0.500 0.500 0.500
3 Cr 0.000 0.000 0.689
4 Cr 0.500 0.500 0.189
5 Cd 0.000 0.000 0.309
6 Cd 0.500 0.500 0.809



VASP calculation (PBE) on Mg2BeInSn after structural relaxation.

Calculated values
ΔH_f (0 K) (eV per formula unit): 1.23

Cell: 4.973 4.973 4.599 Å, 90.00 90.00 90.00°
Sites, in units of the cell vectors:
1 Mg 0.000 0.500 0.000
2 Mg 0.500 0.000 0.000
3 Be 0.000 0.000 0.000
4 In 0.000 0.000 0.500
5 Sn 0.500 0.500 0.500



VASP calculation (PBE) on Cu3Pb2 after structural relaxation.

Calculated values
ΔH_f (0 K) (eV per formula unit): 1.31

Cell: 11.567 5.767 12.733 Å, 65.21 26.91 87.88°
Sites, in units of the cell vectors:
1 Cu 0.000 0.000 0.000
2 Cu 0.250 0.250 0.250
3 Cu 0.324 0.681 0.552
4 Cu 0.681 0.324 0.443
5 Cu 0.698 0.807 0.926
6 Cu 0.807 0.698 0.569
7 Pb 0.385 0.573 0.757
8 Pb 0.493 0.965 0.865
9 Pb 0.573 0.385 0.285
10 Pb 0.965 0.493 0.677



VASP calculation (PBE) on GaBiOs3 after structural relaxation.

Calculated values
ΔH_f (0 K) (eV per formula unit): 8.51

Cell: 4.609 4.609 4.609 Å, 90.00 90.00 90.00°
Sites, in units of the cell vectors:
1 Ga 0.000 0.000 0.000
2 Bi 0.500 0.500 0.500
3 Os 0.000 0.000 0.500
4 Os 0.000 0.500 0.000
5 Os 0.500 0.000 0.000



Taking the records one at a time from the top gives theoretical density values of 8.98, 7.25, 7.10, 8.97, 9.12, 8.10, 3.90, 2.88, 13.32, 5.67, 3.97, 2.47, 3.02, 11.34, 4.10, 15.19, 4.62, 4.25, 10.07, 14.40 g/cm³.
Taking the records one at a time from the top gives DFT total energy values of -15.2, -14.6, -18.4, -65.0, -16.8, -35.1, -28.0, -8.5, -23.5, -34.5, -60.5, -49.5, -36.5, -62.0, -30.7, -28.4, -11.7, -12.4, -18.4, -32.1 eV per formula unit.
Taking the records one at a time from the top gives spin magnetization values of 1.126, 18.267, 0.001, 0.000, 1.708, 0.001, 0.000, 0.000, 0.000, 0.000, 0.000, 0.028, 8.000, 5.516, 3.777, 0.000, 8.844, 0.000, 0.000, 0.000 μB per cell.